A plane-wave DFT calculation with PBE-GGA was carried out for TlZnIr2 after structural relaxation.

Properties
- energy of formation from the pure elements (meV/atom) = 364.7
- total magnetization (μB per formula unit) = 0.00
- energy above the most stable polymorph in this dataset (meV/atom) = 109

a b c (Å): 3.0061 3.0061 25.4727
angles (deg): 90.00 90.00 120.00
Space group R-3m (No. 166, hexagonal axes)
Unique sites:
Tl 0.0000 0.0000 0.0000 x3
Zn 0.0000 0.0000 0.5000 x3
Ir 0.0000 0.0000 0.2444 x6

---

A plane-wave DFT calculation with PBE-GGA was carried out for TlZnIr after structural relaxation.

Properties
- energy of formation from the pure elements (meV/atom) = 272.0
- total magnetization (μB per formula unit) = 0.00
- energy above the most stable polymorph in this dataset (meV/atom) = 48

a b c (Å): 4.4203 4.4203 3.1728
angles (deg): 90.00 90.00 120.00
Space group P-6m2 (No. 187)
Unique sites:
Tl 0.0000 0.0000 0.0000 x1
Zn 0.6667 0.3333 0.5000 x1
Ir 0.3333 0.6667 0.5000 x1

---

A plane-wave DFT calculation with PBE-GGA was carried out for TlZn2Ir after structural relaxation.

Properties
- energy of formation from the pure elements (meV/atom) = 146.4
- total magnetization (μB per formula unit) = 0.00
- energy above the most stable polymorph in this dataset (meV/atom) = 119

a b c (Å): 3.965 3.968 8.414
angles (deg): 90.00 90.00 90.00
Space group Imm2 (No. 44)
Unique sites:
Tl 0.000 0.000 0.000 x2
Zn 0.000 0.000 0.499 x2
Zn 0.000 0.500 0.250 x2
Ir 0.000 0.500 0.750 x2

---

A plane-wave DFT calculation with PBE-GGA was carried out for TlZnIr2 after structural relaxation.

Properties
- energy of formation from the pure elements (meV/atom) = 275.5
- total magnetization (μB per formula unit) = 0.00
- energy above the most stable polymorph in this dataset (meV/atom) = 20

a b c (Å): 8.816 2.980 5.189
angles (deg): 90.00 100.90 90.00
Space group C2/m (No. 12)
Unique sites:
Tl 0.000 0.000 0.000 x2
Zn 0.000 0.500 0.500 x2
Ir 0.240 0.000 0.712 x4

---

A plane-wave DFT calculation with PBE-GGA was carried out for TlZn2Ir after structural relaxation.

Properties
- energy of formation from the pure elements (meV/atom) = 196.9
- total magnetization (μB per formula unit) = 0.00
- energy above the most stable polymorph in this dataset (meV/atom) = 170

a b c (Å): 9.476 3.081 4.854
angles (deg): 90.00 102.00 90.00
Space group C2/m (No. 12)
Unique sites:
Tl 0.000 0.000 0.000 x2
Zn 0.232 0.000 0.702 x4
Ir 0.000 0.500 0.500 x2

---

A plane-wave DFT calculation with PBE-GGA was carried out for TlZn2Ir after structural relaxation.

Properties
- energy of formation from the pure elements (meV/atom) = 227.6
- total magnetization (μB per formula unit) = 0.00
- energy above the most stable polymorph in this dataset (meV/atom) = 201

a b c (Å): 5.659 7.552 3.149
angles (deg): 90.00 90.00 90.00
Space group Cmmm (No. 65)
Unique sites:
Tl 0.000 0.000 0.000 x2
Zn 0.250 0.250 0.500 x4
Ir 0.000 0.500 0.000 x2

---

A plane-wave DFT calculation with PBE-GGA was carried out for TlZn2Ir2 after structural relaxation.

Properties
- energy of formation from the pure elements (meV/atom) = 242.8
- total magnetization (μB per formula unit) = 0.00
- energy above the most stable polymorph in this dataset (meV/atom) = 163

a b c (Å): 3.841 3.841 11.964
angles (deg): 90.00 90.00 90.00
Space group I4/mmm (No. 139)
Unique sites:
Tl 0.000 0.000 0.000 x2
Zn 0.000 0.500 0.250 x4
Ir 0.000 0.000 0.392 x4

---

A plane-wave DFT calculation with PBE-GGA was carried out for TlZnIr2 after structural relaxation.

Properties
- energy of formation from the pure elements (meV/atom) = 498.5
- total magnetization (μB per formula unit) = 0.53
- energy above the most stable polymorph in this dataset (meV/atom) = 243

a b c (Å): 6.431 6.431 6.431
angles (deg): 90.00 90.00 90.00
Space group F-43m (No. 216)
Unique sites:
Tl 0.000 0.000 0.000 x4
Zn 0.250 0.250 0.250 x4
Ir 0.000 0.000 0.500 x4
Ir 0.250 0.250 0.750 x4

---

Short version: theoretical density = 16.35 14.29 13.23 16.23 12.63 13.01 13.54 16.34 g cm⁻³, in the order given.